No. 1
Density functional theory data (PBE) for a relaxed Gd3Ga crystal.

a = 5.351 Å, b = 5.351 Å, c = 5.351 Å
α = 60.00°, β = 60.00°, γ = 60.00°
Each line ends with the local moment (μB).
Fractional positions:
Gd  0.250  0.250  0.250  -7.37
Gd  0.750  0.750  0.750  -7.37
Gd  0.000  0.000  0.000  -7.58
Ga  0.500  0.500  0.500  0.06

Values from the calculation:
As for the total magnetization: 23.29 μB/cell. The total energy is -0.8414 Ry/atom. For the density of states at the Fermi level, the calculation gives 1.300 states/eV/atom.

No. 2
Density functional theory data (PBE) for a relaxed GdGa6 crystal.

a = 5.998 Å, b = 5.998 Å, c = 7.631 Å
α = 90.00°, β = 90.00°, γ = 90.00°
Each line ends with the local moment (μB).
Fractional positions:
Ga  0.000  0.000  0.163  -0.02
Ga  0.321  0.179  0.353  -0.01
Ga  0.321  0.821  0.647  -0.01
Ga  0.179  0.321  0.647  -0.01
Ga  0.679  0.821  0.353  -0.01
Ga  0.679  0.179  0.647  -0.01
Ga  0.500  0.500  0.163  -0.02
Ga  0.821  0.321  0.353  -0.01
Ga  0.000  0.000  0.837  -0.02
Ga  0.179  0.679  0.353  -0.01
Ga  0.500  0.500  0.837  -0.02
Ga  0.821  0.679  0.647  -0.01
Gd  0.500  0.000  0.000  6.99
Gd  0.000  0.500  0.000  6.99

Values from the calculation:
As for the total magnetization: 13.97 μB/cell. The energy above the most stable polymorph in this dataset comes out at 0 meV/atom. The total energy is -0.3624 Ry/atom. For the density of states at the Fermi level, the calculation gives 0.362 states/eV/atom.